[1]
Compound: MgTeMo2
Source: Alexandria via LeMat-Bulk
Functional: SCAN
Structure: single point on PBEsol structure

abc: 4.5640 4.5640 4.5640
angles: 60.00 60.00 60.00
Positions (direct):
1 Mg 0.0000 0.0000 0.0000
2 Te 0.5000 0.5000 0.5000
3 Mo 0.2500 0.2500 0.2500
4 Mo 0.7500 0.7500 0.7500

Results
space group = No. 225
formation energy (no corrections) = 0.58 eV/atom
energy above the lowest structure with this stoichiometry = 256.7 meV/atom

***

[2]
Compound: MgTeMo2
Source: Alexandria via LeMat-Bulk
Functional: SCAN
Structure: single point on PBEsol structure

abc: 5.1911 5.1911 5.1911
angles: 140.04 128.19 67.37
Positions (direct):
1 Mg 0.0000 0.0000 0.0000
2 Te 0.7331 0.2331 0.5000
3 Mo 0.2603 0.7603 0.5000
4 Mo 0.4787 0.4787 0.0000

Results
space group = No. 44
formation energy (no corrections) = 0.33 eV/atom
energy above the lowest structure with this stoichiometry = 0.0 meV/atom

***

[3]
Compound: MgTeMo2
Source: Alexandria via LeMat-Bulk
Functional: SCAN
Structure: single point on PBEsol structure

abc: 5.3581 5.3581 5.3581
angles: 137.41 137.41 61.80
Positions (direct):
1 Mg 0.0000 0.0000 0.0000
2 Te 0.5000 0.5000 0.0000
3 Mo 0.2500 0.7500 0.5000
4 Mo 0.7500 0.2500 0.5000

Results
space group = No. 139
formation energy (no corrections) = 0.51 eV/atom
energy above the lowest structure with this stoichiometry = 180.2 meV/atom

***

[4]
Compound: MgTeMo2
Source: Alexandria via LeMat-Bulk
Functional: SCAN
Structure: single point on PBEsol structure

abc: 4.4217 4.4217 3.5148
angles: 90.00 90.00 98.62
Positions (direct):
1 Mg 0.0000 0.0000 0.0000
2 Te 0.5000 0.5000 0.0000
3 Mo 0.0000 0.5000 0.5000
4 Mo 0.5000 0.0000 0.5000

Results
space group = No. 65
formation energy (no corrections) = 0.53 eV/atom
energy above the lowest structure with this stoichiometry = 205.8 meV/atom

***

[5]
Compound: MgTeMo2
Source: Alexandria via LeMat-Bulk
Functional: SCAN
Structure: single point on PBEsol structure

abc: 5.2647 5.2647 2.9608
angles: 100.19 100.19 115.51
Positions (direct):
1 Mg 0.0000 0.0000 0.0000
2 Te 0.5000 0.5000 0.0000
3 Mo 0.0000 0.5000 0.5000
4 Mo 0.5000 0.0000 0.5000

Results
space group = No. 12
formation energy (no corrections) = 0.58 eV/atom
energy above the lowest structure with this stoichiometry = 250.8 meV/atom

***

[6]
Compound: MgTlMo2
Source: Alexandria via LeMat-Bulk
Functional: SCAN
Structure: single point on PBEsol structure

abc: 4.9242 4.9242 5.2878
angles: 94.38 94.38 33.30
Positions (direct):
1 Mg 0.0000 0.0000 0.0000
2 Tl 0.2495 0.2495 0.7621
3 Mo 0.5068 0.5068 0.4759
4 Mo 0.7493 0.7493 0.2700

Results
space group = No. 8
energy above the lowest structure with this stoichiometry = 36.6 meV/atom
calculated formation energy = 0.51 eV/atom